# 1
Entry from the Alexandria database: crystalline Ho3Ga2Ni2 at its relaxed geometry (PBE-GGA).

DOS at the Fermi energy = 21.5 states/eV per cell
Calculated formation energy = -583.9 meV/atom
Energy = -141.7 eV for the cell shown
Size of the total moment = 0.00 μB per formula unit
Calculated volume = 19.81 Å³/atom
ρ = 9.00 g cm⁻³
Space-group type = No. 57

The structure in POSCAR format:
```
Ho3Ga2Ni2
1.0
-2.0240 2.3378 4.5009
-6.5357 1.9153 -3.9339
-5.3572 -11.2389 3.4284
Ga Ni Ho
8 8 12
Cartesian
-5.0208 -4.3225 2.3057 Ga
-6.2175 2.9562 -0.0246 Ga
-8.2813 -6.9253 0.8391 Ga
-6.4472 -6.2271 5.9942 Ga
-8.8961 -2.6633 1.6896 Ga
-7.4698 -0.7587 -1.9989 Ga
-2.3422 1.2969 0.5915 Ga
-5.6356 -0.0605 3.1562 Ga
-7.4165 -4.7335 1.5980 Ni
-9.2563 -1.8860 -0.7083 Ni
-6.3739 -8.6938 5.7999 Ni
-6.5004 -2.2523 2.3973 Ni
-9.1297 -8.3276 2.6944 Ni
-7.5431 1.7080 -1.8047 Ni
-4.7873 1.3418 1.3009 Ni
-4.6607 -5.0998 4.7036 Ni
-6.4179 -7.1008 3.1755 Ho
-4.7721 0.3851 -1.3418 Ho
-6.3818 -2.9919 -0.3117 Ho
-7.4990 0.1150 0.8197 Ho
-2.9147 1.0565 3.7616 Ho
-11.0022 -8.0423 0.2337 Ho
-10.2596 -5.4804 2.4846 Ho
-3.6573 -1.5054 1.5107 Ho
-9.3925 -4.6653 -0.7964 Ho
-9.1448 -7.3709 5.3371 Ho
-7.5351 -3.9939 4.3070 Ho
-4.5244 -2.3205 4.7917 Ho
```

---

# 2
Entry from the Alexandria database: crystalline Ho2GaNi2 at its relaxed geometry (PBE-GGA).

DOS at the Fermi energy = 3.6 states/eV per cell
Calculated formation energy = -587.7 meV/atom
Energy = -26.7 eV for the cell shown
Size of the total moment = 0.00 μB per formula unit
Calculated volume = 18.37 Å³/atom
ρ = 9.34 g cm⁻³
Space-group type = No. 71

The structure in POSCAR format:
```
Ho2GaNi2
1.0
4.1714 -0.0018 -0.0012
2.0834 4.9061 0.0927
2.0834 1.9017 4.5235
Ho Ga Ni
2 1 2
Cartesian
2.0850 2.0288 1.3756 Ho
6.2532 4.7773 3.2393 Ho
0.0000 0.0000 0.0000 Ga
4.1691 4.0984 1.2819 Ni
4.1691 2.7076 3.3330 Ni
```

---

# 3
Entry from the Alexandria database: crystalline Ho3Ga3Ni at its relaxed geometry (PBE-GGA).

DOS at the Fermi energy = 10.8 states/eV per cell
Calculated formation energy = -620.7 meV/atom
Energy = -65.9 eV for the cell shown
Size of the total moment = 0.00 μB per formula unit
Calculated volume = 21.32 Å³/atom
ρ = 8.48 g cm⁻³
Space-group type = No. 12

The structure in POSCAR format:
```
Ho3Ga3Ni
1.0
4.2030 0.0000 0.6331
2.0741 5.2955 0.4984
0.1259 0.0245 13.4321
Ga Ho Ni
6 6 2
Cartesian
0.5888 0.9006 10.3587 Ga
1.1865 1.3027 6.3908 Ga
2.3553 4.5513 12.8994 Ga
4.0477 0.7687 1.6642 Ga
5.8142 4.4194 4.2049 Ga
5.2165 4.0173 8.1729 Ga
4.7736 3.9986 11.1128 Ho
3.4246 3.5863 5.8012 Ho
2.9785 1.7336 8.7625 Ho
1.6294 1.3213 3.4509 Ho
4.0296 3.7746 1.7842 Ho
2.3734 1.5454 12.7794 Ho
2.9798 4.7761 8.7539 Ni
3.4233 0.5438 5.8098 Ni
```

---

# 4
Entry from the Alexandria database: crystalline Ho2Ga3Ni5 at its relaxed geometry (PBE-GGA).

DOS at the Fermi energy = 11.4 states/eV per cell
Calculated formation energy = -507.8 meV/atom
Energy = -104.4 eV for the cell shown
Size of the total moment = 0.00 μB per formula unit
Calculated volume = 15.49 Å³/atom
ρ = 8.93 g cm⁻³
Space-group type = No. 36

The structure in POSCAR format:
```
Ho2Ga3Ni5
1.0
4.1128 0.0000 -0.7006
0.0000 7.0592 0.0000
-0.2901 0.0000 10.7192
Ni Ho Ga
10 4 6
Cartesian
0.5365 1.2852 3.1496 Ni
0.9312 0.1740 5.4664 Ni
3.2862 4.8148 6.8690 Ni
1.3473 3.3958 7.9090 Ni
3.6299 6.3030 8.8867 Ni
0.9981 4.8304 5.8591 Ni
2.4754 6.9253 2.1096 Ni
0.1928 2.7734 1.1320 Ni
2.8246 1.3008 4.1596 Ni
2.8915 3.7036 4.5522 Ni
2.1123 4.9125 -0.0220 Ho
1.7104 1.3829 10.0406 Ho
3.2795 1.3076 6.8296 Ho
0.5432 4.8371 3.1890 Ho
2.4803 2.5973 2.1384 Ga
0.2021 7.0154 1.1864 Ga
1.3424 6.1268 7.8802 Ga
0.9098 2.5203 5.3409 Ga
3.6206 3.4859 8.8322 Ga
2.9129 6.0499 4.6778 Ga
```

---

# 5
Entry from the Alexandria database: crystalline Ho3Ga4Ni8 at its relaxed geometry (PBE-GGA).

DOS at the Fermi energy = 14.1 states/eV per cell
Calculated formation energy = -515.2 meV/atom
Energy = -159.6 eV for the cell shown
Size of the total moment = 0.00 μB per formula unit
Calculated volume = 14.90 Å³/atom
ρ = 9.24 g cm⁻³
Space-group type = No. 225

The structure in POSCAR format:
```
Ho3Ga4Ni8
1.0
7.4323 0.0000 4.2910
2.4774 7.0073 4.2910
0.0000 0.0000 8.5821
Ga Ni Ho
8 16 6
Cartesian
1.2387 3.5036 2.1455 Ga
0.0000 0.0000 4.2910 Ga
1.2387 3.5036 6.4366 Ga
4.9549 3.5036 4.2910 Ga
3.7162 0.0000 6.4366 Ga
4.9549 3.5036 8.5821 Ga
3.7162 0.0000 2.1455 Ga
0.0000 0.0000 0.0000 Ga
8.9403 4.7223 12.8732 Ni
8.6654 6.1274 10.7373 Ni
3.2314 2.2850 5.5970 Ni
4.9437 0.8799 4.2910 Ni
0.9695 2.2850 4.2910 Ni
3.2314 2.2850 2.9851 Ni
7.4323 6.8549 12.8732 Ni
2.4774 0.1524 4.2910 Ni
1.2443 0.8799 2.1552 Ni
2.4774 4.3677 4.2910 Ni
6.6783 4.7223 14.1791 Ni
7.4323 2.6396 12.8731 Ni
1.2443 0.8799 6.4269 Ni
8.6654 6.1274 15.0090 Ni
6.6783 4.7223 11.5672 Ni
4.9661 6.1274 12.8731 Ni
6.0958 1.8901 10.5583 Ho
7.2368 5.1172 8.5821 Ho
3.8139 5.1172 6.6059 Ho
3.8139 5.1172 10.5583 Ho
6.0958 1.8901 6.6059 Ho
2.6730 1.8901 8.5821 Ho
```

---

# 6
Entry from the Alexandria database: crystalline HoGa4Ni2Os at its relaxed geometry (PBE-GGA).

DOS at the Fermi energy = 4.2 states/eV per cell
Calculated formation energy = -338.7 meV/atom
Energy = -42.2 eV for the cell shown
Size of the total moment = 0.00 μB per formula unit
Calculated volume = 16.05 Å³/atom
ρ = 9.72 g cm⁻³
Space-group type = No. 166

The structure in POSCAR format:
```
HoGa4Ni2Os
1.0
-1.5736 2.2345 3.0758
-3.9915 -0.3235 0.9451
0.0011 -5.8094 6.9729
Os Ni Ho Ga
1 2 1 4
Cartesian
-2.7820 -1.9492 5.4969 Os
-4.2658 -2.6013 7.9636 Ni
-1.2981 -1.2971 3.0303 Ni
0.0000 0.0000 0.0000 Ho
-2.2289 -3.8702 7.1754 Ga
-3.3351 -0.0282 3.8184 Ga
-0.7199 -3.3053 4.7849 Ga
-4.8440 -0.5931 6.2089 Ga
```

---

# 7
Entry from the Alexandria database: crystalline HoGa3NiOs at its relaxed geometry (PBE-GGA).

DOS at the Fermi energy = 4.7 states/eV per cell
Calculated formation energy = -230.2 meV/atom
Energy = -64.1 eV for the cell shown
Size of the total moment = 0.00 μB per formula unit
Calculated volume = 18.80 Å³/atom
ρ = 9.17 g cm⁻³
Space-group type = No. 63

The structure in POSCAR format:
```
HoGa3NiOs
1.0
5.5427 0.0000 0.0000
0.0000 7.7643 0.0000
0.0000 -3.8821 5.2431
Ni Ga Os Ho
2 6 2 2
Cartesian
1.3857 3.8821 4.8861 Ni
4.1570 0.0000 0.3570 Ni
2.7713 1.9436 0.0000 Ga
2.7713 5.8206 0.0000 Ga
0.0000 5.8206 0.0000 Ga
1.3857 0.0000 1.9647 Ga
4.1570 3.8821 3.2784 Ga
0.0000 1.9436 0.0000 Ga
4.1570 3.8821 0.8674 Os
1.3857 0.0000 4.3758 Os
4.1570 0.0000 3.0896 Ho
1.3857 3.8821 2.1535 Ho
```

---

# 8
Entry from the Alexandria database: crystalline Ho3GaNi9P2 at its relaxed geometry (PBE-GGA).

DOS at the Fermi energy = 7.4 states/eV per cell
Calculated formation energy = -434.0 meV/atom
Energy = -86.1 eV for the cell shown
Size of the total moment = 0.00 μB per formula unit
Calculated volume = 15.97 Å³/atom
ρ = 8.01 g cm⁻³
Space-group type = No. 164

The structure in POSCAR format:
```
Ho3GaNi9P2
1.0
-3.3016 -2.7914 3.8000
5.7041 0.2017 0.7446
-0.8274 7.0202 4.4379
Ga Ni P Ho
1 9 2 3
Cartesian
-0.4137 3.5101 2.2189 Ga
0.9491 1.6126 2.0091 Ni
0.6261 2.8179 6.9733 Ni
2.8521 0.1008 0.3723 Ni
1.2013 -1.2948 2.2723 Ni
2.3024 0.1539 4.5690 Ni
-0.7273 4.2766 4.4134 Ni
-1.6508 -1.3957 1.9000 Ni
4.1621 1.7262 2.4285 Ni
-2.5870 2.7043 6.5539 Ni
2.5628 0.3869 2.5108 P
-0.9877 4.0436 6.4716 P
-0.5825 0.6061 4.2986 Ho
2.1576 3.8244 4.6839 Ho
0.0000 0.0000 0.0000 Ho
```

---

# 9
Entry from the Alexandria database: crystalline Ho2Ga3Ni4Pd at its relaxed geometry (PBE-GGA).

DOS at the Fermi energy = 5.7 states/eV per cell
Calculated formation energy = -558.8 meV/atom
Energy = -52.1 eV for the cell shown
Size of the total moment = 0.00 μB per formula unit
Calculated volume = 16.20 Å³/atom
ρ = 9.02 g cm⁻³
Space-group type = No. 115

The structure in POSCAR format:
```
Ho2Ga3Ni4Pd
1.0
-1.7730 1.1919 3.1634
-2.4597 -2.9053 -0.2840
6.7545 -6.3214 6.1675
Ni Ho Ga Pd
4 2 3 1
Cartesian
0.0000 0.0000 0.0000 Ni
3.5431 -3.5497 5.6264 Ni
1.0950 -3.6285 1.9808 Ni
-2.1164 -0.8567 1.4397 Ni
0.8692 -1.0472 3.1849 Ho
3.7689 -6.1309 4.4223 Ho
-0.3481 -2.2779 0.6631 Ga
4.9862 -4.9003 6.9441 Ga
3.3773 -3.1607 3.0837 Ga
1.2609 -4.0174 4.5235 Pd
```

---

# 10
Entry from the Alexandria database: crystalline Ho2Ga4NiPd3 at its relaxed geometry (PBE-GGA).

DOS at the Fermi energy = 6.2 states/eV per cell
Calculated formation energy = -713.4 meV/atom
Energy = -49.8 eV for the cell shown
Size of the total moment = 0.00 μB per formula unit
Calculated volume = 18.05 Å³/atom
ρ = 9.08 g cm⁻³
Space-group type = No. 115

The structure in POSCAR format:
```
Ho2Ga4NiPd3
1.0
-1.4454 2.0817 -3.0646
-3.7047 -0.7980 1.2052
0.0459 9.4500 6.3977
Pd Ga Ni Ho
3 4 1 2
Cartesian
-0.6837 9.0752 3.9070 Pd
0.0229 4.7250 3.1988 Pd
-1.8455 1.0167 1.5611 Pd
-1.8354 3.0973 2.9696 Ga
-0.6938 6.9946 2.4984 Ga
0.0000 0.0000 0.0000 Ga
-2.5750 0.6419 -0.9297 Ga
-2.5521 5.3669 2.2692 Ni
-1.8182 6.6401 5.3681 Ho
-0.7110 3.4518 0.0999 Ho
```